Compound: Ca2YSe
Source: Alexandria
Functional: PBE-GGA
Structure: relaxed

a b c (Å): 3.8993 8.1110 8.1110
angles (deg): 30.07 90.00 90.00
Closest atoms and distances in Å follow each position.
Atoms (fractional coordinates):
Ca 0.0000 0.0000 0.0000  1 Se 3.23
Ca 0.5000 0.3391 0.3391  4 Se 2.95
Y 0.5000 0.6446 0.6446  2 Se 3.05
Se 0.0000 0.7939 0.7939  5 Ca 2.95-3.23, 2 Y 3.05

Results
Symmetry: Amm2
E_form (uncorrected) in eV per atom: -0.7328
Energy relative to the lowest polymorph listed for this composition in meV per atom: 113
M_tot in Bohr magnetons per cell: 1.16
Raw total energy in eV per atom: -4.221